No. 1
The following is a DFT calculation (PBE) of a relaxed structure of Tc3RuRh6.

Properties
ΔH_f (0 K): 0.2661 eV per atom
calculated volume: 14.92 A^3/atom
symmetry: No. 12

Unit cell a=5.103 b=5.103 c=7.158 alpha=110.14 beta=110.14 gamma=60.86
Element x y z (fractional)
Tc  0.000  0.000  0.000
Tc  0.437  0.437  0.818
Tc  0.563  0.563  0.182
Ru  0.500  0.500  0.500
Rh  0.056  0.567  0.196
Rh  0.148  0.148  0.427
Rh  0.433  0.944  0.804
Rh  0.567  0.056  0.196
Rh  0.852  0.852  0.573
Rh  0.944  0.433  0.804


No. 2
The following is a DFT calculation (PBE) of a relaxed structure of MnFeGe3.

Properties
ΔH_f (0 K): 0.4648 eV per atom
calculated volume: 19.41 A^3/atom
symmetry: No. 221
energy above the most stable polymorph in this dataset: 29.9 kJ per mole of atoms

Unit cell a=4.596 b=4.596 c=4.596 alpha=90.00 beta=90.00 gamma=90.00
Element x y z (fractional)
Mn  0.000  0.000  0.000
Fe  0.500  0.500  0.500
Ge  0.000  0.500  0.500
Ge  0.500  0.000  0.500
Ge  0.500  0.500  0.000


No. 3
The following is a DFT calculation (PBE) of a relaxed structure of TbThW4.

Properties
ΔH_f (0 K): 0.1498 eV per atom
calculated volume: 20.60 A^3/atom
symmetry: No. 216

Unit cell a=5.592 b=5.592 c=5.592 alpha=60.00 beta=60.00 gamma=60.00
Element x y z (fractional)
Tb  0.000  0.000  0.000
Th  0.250  0.250  0.250
W  0.126  0.625  0.625
W  0.625  0.126  0.625
W  0.625  0.625  0.126
W  0.625  0.625  0.625


No. 4
The following is a DFT calculation (PBE) of a relaxed structure of LaPrCuAg.

Properties
ΔH_f (0 K): -0.1897 eV per atom
calculated volume: 25.76 A^3/atom
symmetry: No. 99
energy above the most stable polymorph in this dataset: 0.0 kJ per mole of atoms

Unit cell a=3.719 b=3.719 c=7.449 alpha=90.00 beta=90.00 gamma=90.00
Element x y z (fractional)
La  0.000  0.000  0.000
Pr  0.000  0.000  0.469
Cu  0.500  0.500  0.239
Ag  0.500  0.500  0.729


no.,size of the total moment (μB per formula unit)
1,0.0
2,3.1
3,0.0
4,0.0